# CeDy4Ho2Er (PBE, relaxed)
data_CeDy4Ho2Er
_space_group_name_H-M_alt 'P 1'
_space_group_IT_number 1
_cell_length_a 3.543
_cell_length_b 6.139
_cell_length_c 12.941
_cell_angle_alpha 61.74
_cell_angle_beta 90.00
_cell_angle_gamma 90.00
loop_
_space_group_symop_operation_xyz
'x,y,z'
loop_
_atom_site_label
_atom_site_type_symbol
_atom_site_fract_x
_atom_site_fract_y
_atom_site_fract_z
Ce1 Ce 0.000 0.500 0.500
Ho1 Ho 0.500 0.000 0.500
Ho2 Ho 0.000 0.000 0.000
Dy1 Dy 0.500 0.416 0.749
Dy2 Dy 0.000 0.081 0.250
Dy3 Dy 0.500 0.584 0.251
Dy4 Dy 0.000 0.919 0.750
Er1 Er 0.500 0.500 0.000
# Total magnetic moment, Bohr magnetons per cell: 0.7
# E, eV/atom: -4.737
# Theoretical density, Mg/m³: 8.62